Material: Ho10ErTm4
Method: DFT, PBE-GGA
State: optimized geometry

Space group   I4/m, No. 87
Electronic total energy   -3.829 eV per atom
Theoretical density   7.59 g/cm3
ΔH_f (0 K)   0.7190 eV per atom

abc: 9.289 9.289 9.289
angles: 99.59 99.59 131.83
Fractional positions:
Ho1 0.050 0.151 0.700
Ho2 0.151 0.451 0.101
Ho3 0.250 0.750 0.500
Ho4 0.350 0.050 0.899
Ho5 0.451 0.350 0.300
Ho6 0.549 0.650 0.700
Ho7 0.650 0.950 0.101
Ho8 0.750 0.250 0.500
Ho9 0.849 0.549 0.899
Ho10 0.950 0.849 0.300
Er1 0.000 0.000 0.000
Tm1 0.200 0.600 0.800
Tm2 0.400 0.200 0.600
Tm3 0.600 0.800 0.400
Tm4 0.800 0.400 0.200